The following is a DFT calculation (PBE) of a relaxed structure of FeSiBr.

Output
The value obtained for the uncorrected formation energy is 0.27 eV per atom. The total magnetic moment is 2.1 μB/f.u. The value obtained for the total energy is -14.76 eV per cell.

a b c (Å): 3.401 3.401 5.505
angles (deg): 90.00 90.00 120.00
Fractional coordinates of all 3 atoms:
Br: 0.000 0.000 0.049
Fe: 0.667 0.333 0.361
Si: 0.333 0.667 0.590



The following is a DFT calculation (PBE) of a relaxed structure of FeSi2Br.

Output
The value obtained for the uncorrected formation energy is 0.65 eV per atom. The total magnetic moment is 2.4 μB/f.u. The value obtained for the total energy is -18.40 eV per cell.

a b c (Å): 4.519 4.506 4.517
angles (deg): 70.61 70.28 109.41
Fractional coordinates of all 4 atoms:
Br: 0.000 0.500 0.500
Fe: 0.500 0.500 0.000
Si: 0.000 0.000 0.000
Si: 0.500 0.000 0.500



The following is a DFT calculation (PBE) of a relaxed structure of FeSi2Br.

Output
The value obtained for the uncorrected formation energy is 0.73 eV per atom. The total magnetic moment is 2.7 μB/f.u. The value obtained for the total energy is -18.08 eV per cell.

a b c (Å): 2.985 4.432 4.996
angles (deg): 90.00 90.00 90.00
Fractional coordinates of all 4 atoms:
Br: 0.500 0.000 0.500
Fe: 0.000 0.500 0.500
Si: 0.000 0.000 0.000
Si: 0.500 0.500 0.000